Record 1
Here is an optimized crystal structure of ZnSi2Br from Alexandria. Energies are from GGA-PBE.

a = 3.5293 Å, b = 3.5276 Å, c = 6.8343 Å
α = 90.00°, β = 90.00°, γ = 90.00°
Fractional positions:
1 Br 0.5000 0.5000 0.6998
2 Si 0.0000 0.0000 0.1557
3 Si 0.5000 0.5000 0.1396
4 Zn 0.0000 0.0000 0.5049

Calculated values
* E_form (uncorrected): 0.172 eV/atom
* offset from the most stable computed form: 107 meV/atom
* DOS at the Fermi energy: 1.8 states/eV/f.u.
* final energy: -3.276 eV/atom

Record 2
Here is an optimized crystal structure of TmMgPb6 from Alexandria. Energies are from GGA-PBE.

a = 4.7641 Å, b = 4.7641 Å, c = 10.1953 Å
α = 90.00°, β = 90.00°, γ = 90.00°
Fractional positions:
1 Tm 0.0000 0.0000 0.0000
2 Mg 0.0000 0.0000 0.5000
3 Pb 0.5000 0.5000 0.0000
4 Pb 0.5000 0.5000 0.5000
5 Pb 0.5000 0.0000 0.2503
6 Pb 0.5000 0.0000 0.7497
7 Pb 0.0000 0.5000 0.2503
8 Pb 0.0000 0.5000 0.7497

Calculated values
* ΔH_f (0 K): -97 meV per atom
* DOS at the Fermi energy: 3.9 states/eV/f.u.
* final energy: -3.637 eV/atom

Record 3
Here is an optimized crystal structure of La4HgI2Br from Alexandria. Energies are from GGA-PBE.

a = 4.3832 Å, b = 7.4978 Å, c = 8.4315 Å
α = 108.10°, β = 90.00°, γ = 90.00°
Fractional positions:
1 La 0.5000 0.2524 0.2272
2 La 0.5000 0.7476 0.7728
3 La 0.0000 0.2668 0.7760
4 La 0.0000 0.7332 0.2240
5 Hg 0.0000 0.0000 0.0000
6 I 0.5000 0.0000 0.5000
7 I 0.0000 0.5000 0.5000
8 Br 0.5000 0.5000 0.0000

Calculated values
* E_form (uncorrected): -0.934 eV/atom
* DOS at the Fermi energy: 6.3 states/eV/f.u.
* final energy: -4.032 eV/atom

Record 4
Here is an optimized crystal structure of Cs3Ca2Br5Cl2 from Alexandria. Energies are from GGA-PBE.

a = 5.7724 Å, b = 5.7724 Å, c = 14.9212 Å
α = 101.15°, β = 101.15°, γ = 90.00°
Fractional positions:
1 Cs 0.1849 0.1849 0.3697
2 Cs 0.8151 0.8151 0.6303
3 Cs 0.0000 0.0000 0.0000
4 Ca 0.3978 0.3978 0.7956
5 Ca 0.6022 0.6022 0.2044
6 Br 0.5981 0.0981 0.1962
7 Br 0.4019 0.9019 0.8038
8 Br 0.0981 0.5981 0.1962
9 Br 0.9019 0.4019 0.8038
10 Br 0.5000 0.5000 0.0000
11 Cl 0.6956 0.6956 0.3911
12 Cl 0.3044 0.3044 0.6089

Calculated values
* E_form (uncorrected): -2.014 eV/atom
* DOS at the Fermi energy: 0.0 states/eV/f.u.
* final energy: -3.566 eV/atom

Record 5
Here is an optimized crystal structure of MgIn2Os from Alexandria. Energies are from GGA-PBE.

a = 4.2181 Å, b = 4.2181 Å, c = 4.1966 Å
α = 90.00°, β = 90.00°, γ = 90.00°
Fractional positions:
1 In 0.0000 0.0000 0.0000
2 In 0.5000 0.5000 0.0000
3 Mg 0.5000 0.0000 0.5000
4 Os 0.0000 0.5000 0.5000

Calculated values
* ΔH_f (0 K): 308 meV per atom
* DOS at the Fermi energy: 2.1 states/eV/f.u.
* final energy: -4.267 eV/atom

Record 6
Here is an optimized crystal structure of LiCo2Re from Alexandria. Energies are from GGA-PBE.

a = 2.5397 Å, b = 3.8347 Å, c = 4.9422 Å
α = 90.00°, β = 90.00°, γ = 90.00°
Fractional positions:
1 Co 0.0000 0.0000 0.9816
2 Co 0.5000 0.5000 0.2739
3 Li 0.0000 0.0000 0.4737
4 Re 0.5000 0.5000 0.7709

Calculated values
* ΔH_f (0 K): 251 meV per atom
* offset from the most stable computed form: 102 meV/atom
* DOS at the Fermi energy: 4.1 states/eV/f.u.
* final energy: -6.893 eV/atom

Record 7
Here is an optimized crystal structure of LaAlRe2 from Alexandria. Energies are from GGA-PBE.

a = 2.8192 Å, b = 2.8192 Å, c = 9.0619 Å
α = 90.00°, β = 90.00°, γ = 90.00°
Fractional positions:
1 Re 0.0000 0.0000 0.0450
2 Re 0.0000 0.0000 0.4550
3 Al 0.5000 0.5000 0.2500
4 La 0.5000 0.5000 0.7500

Calculated values
* ΔH_f (0 K): 489 meV per atom
* DOS at the Fermi energy: 5.7 states/eV/f.u.
* final energy: -7.903 eV/atom

Record 8
Here is an optimized crystal structure of Na2Hf3TlO8 from Alexandria. Energies are from GGA-PBE.

a = 6.5123 Å, b = 6.5123 Å, c = 6.8190 Å
α = 61.48°, β = 61.48°, γ = 60.00°
Fractional positions:
1 Na 0.1208 0.1208 0.6376
2 Na 0.4996 0.4996 0.5012
3 Hf 0.4981 0.0079 0.9960
4 Hf 0.0079 0.4981 0.9960
5 Hf 0.4981 0.4981 0.9960
6 Tl 0.8796 0.8796 0.3612
7 O 0.2683 0.2683 0.1950
8 O 0.7285 0.7285 0.8146
9 O 0.2465 0.2465 0.8143
10 O 0.6926 0.2465 0.8143
11 O 0.2465 0.6926 0.8143
12 O 0.7485 0.3092 0.1938
13 O 0.3092 0.7485 0.1938
14 O 0.7485 0.7485 0.1938

Calculated values
* E_form (uncorrected): -2.660 eV/atom
* DOS at the Fermi energy: 3.3 states/eV/f.u.
* final energy: -7.983 eV/atom